Entry 1:
! Pr4Nd5Y2 PBE-GGA optimized geometry; values from VASP
! E above lowest polymorph	0.30	eV/f.u.
! energy of formation	132	meV per atom
! Fermi-level density of states	18.4	states/eV/f.u.
&SYSTEM
  ibrav = 0, nat = 11, ntyp = 3
/
ATOMIC_SPECIES
Nd 144.24 Nd.upf
Pr 140.91 Pr.upf
Y 88.91 Y.upf
CELL_PARAMETERS angstrom
3.4950 0.0000 -0.5326
-0.2086 8.9168 -1.3689
0.1011 0.3556 12.3961
ATOMIC_POSITIONS angstrom
Nd 1.7475 0.0000 -0.2663
Pr 1.0811 4.9474 7.0935
Nd 2.7074 1.7647 6.0319
Nd 2.8916 8.1648 7.2409
Nd 0.6801 7.5078 4.4627
Pr 3.2925 6.0245 9.8715
Nd 0.4959 1.1076 3.2538
Y 0.1807 6.6107 1.1857
Pr 2.3064 4.3250 3.4012
Y 3.2068 2.6618 9.3089
Pr 0.0950 3.2480 0.6231

***

Entry 2:
! PaTl2TcO6 PBE-GGA optimized geometry; values from VASP
! uncorrected formation energy	-1.76	eV/atom
! Fermi-level density of states	0.1	states/eV/f.u.
&SYSTEM
  ibrav = 0, nat = 10, ntyp = 4
/
ATOMIC_SPECIES
O 16.00 O.upf
Tl 204.38 Tl.upf
Pa 231.04 Pa.upf
Tc 98.00 Tc.upf
CELL_PARAMETERS angstrom
5.8793 0.0000 0.0008
0.0000 5.8799 0.0006
2.9403 2.9405 5.6781
ATOMIC_POSITIONS angstrom
O 2.9409 2.9411 3.7090
O 4.5789 7.1836 5.6787
O 5.8787 5.8794 1.9705
Tl 2.9401 5.8802 2.8402
O 4.2407 1.6369 0.0008
Tl 5.8796 2.9403 2.8392
Pa 0.0000 0.0000 0.0000
O 7.1830 7.1816 5.6786
O 1.6366 1.6389 0.0009
Tc 2.9397 2.9400 0.0007

***

Entry 3:
! AcNpTe6 PBE-GGA optimized geometry; values from VASP
! uncorrected formation energy	-0.79	eV/atom
! Fermi-level density of states	12.4	states/eV/f.u.
&SYSTEM
  ibrav = 0, nat = 8, ntyp = 3
/
ATOMIC_SPECIES
Te 127.60 Te.upf
Np 237.00 Np.upf
Ac 227.00 Ac.upf
CELL_PARAMETERS angstrom
-1.8540 3.8334 1.2793
-4.0070 -1.9280 -0.0300
2.5498 -5.4928 12.4278
ATOMIC_POSITIONS angstrom
Te -1.0291 -3.1113 7.8316
Np 0.1487 -0.4539 9.3021
Te -0.2382 0.3987 6.1866
Te -1.5717 -2.0419 11.5671
Te 1.3588 -2.9944 10.9417
Te 0.2382 -0.5250 1.9184
Te -2.6920 0.4270 2.5457
Ac -1.4459 -2.1927 4.4750

***

Entry 4:
! KTa2Co PBE-GGA optimized geometry; values from VASP
! E above lowest polymorph	3.90	eV/f.u.
! energy of formation	1496	meV per atom
! Fermi-level density of states	5.6	states/eV/f.u.
&SYSTEM
  ibrav = 0, nat = 4, ntyp = 3
/
ATOMIC_SPECIES
Ta 180.95 Ta.upf
K 39.10 K.upf
Co 58.93 Co.upf
CELL_PARAMETERS angstrom
4.7829 -0.0020 0.0000
0.0199 4.7829 0.0000
-2.4014 -2.3905 3.3757
ATOMIC_POSITIONS angstrom
Ta 0.0000 0.0000 0.0000
K 2.3915 -0.0010 1.6879
Co 2.4014 2.3905 0.0000
Ta 0.0099 2.3915 1.6879